Below is a relaxed Dy3Er2ScBi2Os crystal, with properties calculated at the PBE level.

## Properties
DFT total energy: -5.9777 eV per atom

a b c (Å): 4.2217 8.1685 8.1685
angles (deg): 119.77 90.00 90.00
With the nearest neighbours (Å) after each atom.
Positions (direct):
Bi  0.0000  0.6608  0.3322  1 Sc 3.19, 2 Er 3.26, 6 Dy 3.26-3.35
Bi  0.0000  0.3322  0.6608  1 Sc 3.19, 2 Er 3.26, 6 Dy 3.26-3.35
Dy  0.5000  0.3848  0.0014  1 Os 3.06, 4 Bi 3.28-3.35
Dy  0.5000  0.0014  0.3848  1 Os 3.06, 4 Bi 3.28-3.35
Dy  0.5000  0.6036  0.6036  4 Bi 3.26, 1 Os 3.40, 4 Er 3.52
Er  0.0000  0.9987  0.7701  2 Os 2.88
Er  0.0000  0.7701  0.9987  2 Os 2.88
Os  0.5000  0.0185  0.0185  2 Sc 2.73, 4 Er 2.88
Sc  0.0000  0.2298  0.2298  2 Os 2.73